(1)
SmDy2Y2Mg5 | GGA-PBE | relaxed

## Properties
Energy of formation   0.076 eV/atom
Symmetry   P4/mbm (127)

Cell lengths 10.6357, 10.6357, 5.0959 Å; angles 90.00, 90.00, 90.00 degrees
Sites, in units of the cell vectors:
Sm: 0.0000 0.0000 0.0000
Sm: 0.5000 0.5000 0.0000
Dy: 0.1183 0.3817 0.0000
Dy: 0.3817 0.8817 0.0000
Dy: 0.6183 0.1183 0.0000
Dy: 0.8817 0.6183 0.0000
Y: 0.1786 0.6786 0.0000
Y: 0.3214 0.1786 0.0000
Y: 0.6786 0.8214 0.0000
Y: 0.8214 0.3214 0.0000
Mg: 0.0000 0.5000 0.5000
Mg: 0.0700 0.1983 0.5000
Mg: 0.1983 0.9300 0.5000
Mg: 0.3017 0.4300 0.5000
Mg: 0.4300 0.6983 0.5000
Mg: 0.5000 0.0000 0.5000
Mg: 0.5700 0.3017 0.5000
Mg: 0.6983 0.5700 0.5000
Mg: 0.8017 0.0700 0.5000
Mg: 0.9300 0.8017 0.5000

(2)
Sm2Dy6Y3Mg | GGA-PBE | relaxed

## Properties
Energy of formation   0.025 eV/atom
Symmetry   C2/m (12)

Cell lengths 6.1363, 6.1363, 11.7415 Å; angles 95.02, 95.02, 120.04 degrees
Sites, in units of the cell vectors:
Sm: 0.1664 0.8336 0.0000
Sm: 0.8336 0.1664 0.0000
Dy: 0.0852 0.4173 0.7505
Dy: 0.2504 0.2504 0.2505
Dy: 0.4173 0.0852 0.7505
Dy: 0.5827 0.9148 0.2495
Dy: 0.7496 0.7496 0.7495
Dy: 0.9148 0.5827 0.2495
Y: 0.0000 0.0000 0.5000
Y: 0.3343 0.6657 0.5000
Y: 0.6657 0.3343 0.5000
Mg: 0.5000 0.5000 0.0000

(3)
SmDy4Y2Mg | GGA-PBE | relaxed

## Properties
Energy of formation   0.022 eV/atom
Symmetry   P4/mmm (123)

Cell lengths 4.9593, 4.9593, 10.0814 Å; angles 90.00, 90.00, 90.00 degrees
Sites, in units of the cell vectors:
Sm: 0.0000 0.0000 0.0000
Dy: 0.0000 0.5000 0.2533
Dy: 0.0000 0.5000 0.7467
Dy: 0.5000 0.0000 0.2533
Dy: 0.5000 0.0000 0.7467
Y: 0.0000 0.0000 0.5000
Y: 0.5000 0.5000 0.0000
Mg: 0.5000 0.5000 0.5000

(4)
Sm2DyY2Mg2 | GGA-PBE | relaxed

## Properties
Energy of formation   -0.026 eV/atom
Symmetry   R-3m (166)

Cell lengths 8.6797, 8.6797, 8.6797 Å; angles 36.78, 36.78, 36.78 degrees
Sites, in units of the cell vectors:
Sm: 0.1557 0.1557 0.1557
Sm: 0.8443 0.8443 0.8443
Dy: 0.0000 0.0000 0.0000
Y: 0.4257 0.4257 0.4257
Y: 0.5743 0.5743 0.5743
Mg: 0.2900 0.2900 0.2900
Mg: 0.7100 0.7100 0.7100

(5)
Sm4DyY2Mg | GGA-PBE | relaxed

## Properties
Energy of formation   0.013 eV/atom
Symmetry   P4/mmm (123)

Cell lengths 5.0261, 5.0261, 10.0698 Å; angles 90.00, 90.00, 90.00 degrees
Sites, in units of the cell vectors:
Sm: 0.0000 0.5000 0.2469
Sm: 0.0000 0.5000 0.7531
Sm: 0.5000 0.0000 0.2469
Sm: 0.5000 0.0000 0.7531
Dy: 0.0000 0.0000 0.5000
Y: 0.0000 0.0000 0.0000
Y: 0.5000 0.5000 0.5000
Mg: 0.5000 0.5000 0.0000

(6)
Sm6Dy3Y2Mg | GGA-PBE | relaxed

## Properties
Energy of formation   0.022 eV/atom
Symmetry   C2/m (12)

Cell lengths 6.1959, 6.1959, 11.7637 Å; angles 95.05, 95.05, 120.03 degrees
Sites, in units of the cell vectors:
Sm: 0.0823 0.4144 0.2493
Sm: 0.2497 0.2497 0.7495
Sm: 0.4144 0.0823 0.2493
Sm: 0.5856 0.9177 0.7507
Sm: 0.7503 0.7503 0.2505
Sm: 0.9177 0.5856 0.7507
Dy: 0.1664 0.8336 0.5000
Dy: 0.5000 0.5000 0.5000
Dy: 0.8336 0.1664 0.5000
Y: 0.3335 0.6665 0.0000
Y: 0.6665 0.3335 0.0000
Mg: 0.0000 0.0000 0.0000

(7)
Sm4Dy2YMg | GGA-PBE | relaxed

## Properties
Energy of formation   0.012 eV/atom
Symmetry   P4/mmm (123)

Cell lengths 5.0373, 5.0373, 9.9861 Å; angles 90.00, 90.00, 90.00 degrees
Sites, in units of the cell vectors:
Sm: 0.0000 0.5000 0.2458
Sm: 0.0000 0.5000 0.7542
Sm: 0.5000 0.0000 0.2458
Sm: 0.5000 0.0000 0.7542
Dy: 0.0000 0.0000 0.0000
Dy: 0.5000 0.5000 0.5000
Y: 0.0000 0.0000 0.5000
Mg: 0.5000 0.5000 0.0000

(8)
Sm3Dy2Y6Mg | GGA-PBE | relaxed

## Properties
Energy of formation   0.031 eV/atom
Symmetry   C2/m (12)

Cell lengths 6.1776, 6.1776, 11.7637 Å; angles 95.05, 95.05, 120.03 degrees
Sites, in units of the cell vectors:
Sm: 0.0000 0.0000 0.0000
Sm: 0.3343 0.6657 0.0000
Sm: 0.6657 0.3343 0.0000
Dy: 0.1664 0.8336 0.5000
Dy: 0.8336 0.1664 0.5000
Y: 0.0869 0.4188 0.2541
Y: 0.2492 0.2492 0.7468
Y: 0.4188 0.0869 0.2541
Y: 0.5812 0.9131 0.7459
Y: 0.7508 0.7508 0.2532
Y: 0.9131 0.5812 0.7459
Mg: 0.5000 0.5000 0.5000

(9)
Sm2DyY4Mg | GGA-PBE | relaxed

## Properties
Energy of formation   0.026 eV/atom
Symmetry   P4/mmm (123)

Cell lengths 4.9938, 4.9938, 10.1234 Å; angles 90.00, 90.00, 90.00 degrees
Sites, in units of the cell vectors:
Sm: 0.0000 0.0000 0.0000
Sm: 0.5000 0.5000 0.5000
Dy: 0.0000 0.0000 0.5000
Y: 0.0000 0.5000 0.2480
Y: 0.0000 0.5000 0.7520
Y: 0.5000 0.0000 0.2480
Y: 0.5000 0.0000 0.7520
Mg: 0.5000 0.5000 0.0000

(10)
Sm2Dy4YMg | GGA-PBE | relaxed

## Properties
Energy of formation   0.026 eV/atom
Symmetry   Pmmm (47)

Cell lengths 4.9711, 4.9838, 10.0814 Å; angles 90.00, 90.00, 90.00 degrees
Sites, in units of the cell vectors:
Sm: 0.0000 0.0000 0.0000
Sm: 0.5000 0.5000 0.5000
Dy: 0.0000 0.5000 0.2481
Dy: 0.0000 0.5000 0.7519
Dy: 0.5000 0.0000 0.2482
Dy: 0.5000 0.0000 0.7518
Y: 0.0000 0.0000 0.5000
Mg: 0.5000 0.5000 0.0000

(11)
SmDy2Y2Mg | GGA-PBE | relaxed

## Properties
Energy of formation   0.490 eV/atom
Symmetry   Pnnm (58)

Cell lengths 10.5032, 11.6126, 3.6074 Å; angles 90.00, 90.00, 90.00 degrees
Sites, in units of the cell vectors:
Sm: 0.0000 0.0000 0.0000
Sm: 0.5000 0.5000 0.5000
Dy: 0.0826 0.2276 0.5000
Dy: 0.4174 0.7276 0.0000
Dy: 0.5826 0.2724 0.0000
Dy: 0.9174 0.7724 0.5000
Y: 0.2460 0.4314 0.0000
Y: 0.2540 0.9314 0.5000
Y: 0.7460 0.0686 0.5000
Y: 0.7540 0.5686 0.0000
Mg: 0.0000 0.5000 0.5000
Mg: 0.5000 0.0000 0.0000